[1]
The following is a DFT calculation (GGA-PBE) of a relaxed HgBAs2Br crystal.

The value obtained for the uncorrected formation energy is 699 meV per atom. For the distance to the lowest polymorph of the same formula, the calculation gives 0.00 eV/f.u.

a b c (Å): 4.2024 4.2024 8.3161
angles (deg): 90.00 90.00 90.00
Fractional positions:
Hg1 0.5000 0.5000 0.5000
As1 0.5000 0.0000 0.0000
As2 0.0000 0.5000 0.0000
Br1 0.0000 0.0000 0.5000
B1 0.0000 0.0000 0.0000

=====

[2]
The following is a DFT calculation (GGA-PBE) of a relaxed AlFe2H crystal.

For the distance to the lowest polymorph of the same formula, the calculation gives 0.00 eV/f.u.

a b c (Å): 2.7123 2.7123 6.2268
angles (deg): 77.42 77.42 60.00
Fractional positions:
Al1 0.4997 0.4997 0.5008
H1 0.6675 0.6675 0.9974
Fe1 0.2770 0.2770 0.1689
Fe2 0.0557 0.0557 0.8328

=====

[3]
The following is a DFT calculation (GGA-PBE) of a relaxed MnVPt crystal.

For the distance to the lowest polymorph of the same formula, the calculation gives 0.03 eV/f.u.

a b c (Å): 2.6561 4.2125 4.2125
angles (deg): 120.00 90.00 90.00
Fractional positions:
V1 0.8334 0.0000 0.0000
Mn1 0.8332 0.6667 0.3333
Pt1 0.3334 0.3333 0.6667

=====

[4]
The following is a DFT calculation (GGA-PBE) of a relaxed LaSnAu crystal.

The calculation puts the calculated total energy at -4.67 eV/atom.

a b c (Å): 3.6574 3.6574 6.4168
angles (deg): 106.56 106.56 90.00
Fractional positions:
Sn1 0.2632 0.2632 0.5264
Au1 0.6217 0.6217 0.2435
La1 0.9651 0.9651 0.9301

=====

[5]
The following is a DFT calculation (GGA-PBE) of a relaxed MgTl3Ga3I8 crystal.

The value obtained for the uncorrected formation energy is -600 meV per atom.

a b c (Å): 9.4715 9.4755 9.7851
angles (deg): 118.98 90.00 119.99
Fractional positions:
Ga1 0.5000 0.5000 0.5000
Ga2 0.5000 0.0000 0.5000
Ga3 0.0000 0.5000 0.5000
I1 0.2310 0.0114 0.2917
I2 0.7803 0.0114 0.2917
I3 0.7801 0.5601 0.2914
I4 0.7434 0.4868 0.7299
I5 0.2566 0.5132 0.2701
I6 0.2199 0.4399 0.7086
I7 0.2197 0.9886 0.7083
I8 0.7690 0.9886 0.7083
Tl1 0.0000 0.0000 0.0000
Tl2 0.0000 0.5000 0.0000
Tl3 0.5000 0.5000 0.0000
Mg1 0.0000 0.0000 0.5000

=====

[6]
The following is a DFT calculation (GGA-PBE) of a relaxed CaCo2Mo crystal.

For the distance to the lowest polymorph of the same formula, the calculation gives 0.29 eV/f.u.

a b c (Å): 4.0950 4.0950 5.6382
angles (deg): 68.73 68.73 59.98
Fractional positions:
Ca1 0.2500 0.2500 0.2500
Mo1 0.7500 0.7500 0.7500
Co1 0.4462 0.4462 0.6613
Co2 0.0538 0.0538 0.8387